# PBE HoAl4Ag, relaxed
data_HoAl4Ag
_chemical_formula_sum 'Ho4 Al16 Ag4'
_symmetry_space_group_name_H-M 'F -4 3 m'
_symmetry_Int_Tables_number 216
_symmetry_space_group_name_Hall 'F -4 2 3'
_cell_length_a 7.729
_cell_length_b 7.729
_cell_length_c 7.729
_cell_angle_alpha 90.00
_cell_angle_beta 90.00
_cell_angle_gamma 90.00
loop_
_atom_site_label
_atom_site_type_symbol
_atom_site_fract_x
_atom_site_fract_y
_atom_site_fract_z
_atom_site_occupancy
Ho1 Ho 0.000 0.000 0.000 1
Al1 Al 0.126 0.126 0.626 1
Ag1 Ag 0.250 0.250 0.250 1
# Formation enthalpy at 0 K = -0.15 eV per atom

# PBE CsTbTlTe3, relaxed
data_CsTbTlTe3
_chemical_formula_sum 'Cs2 Tb2 Tl2 Te6'
_symmetry_space_group_name_H-M 'P 1 21/m 1'
_symmetry_Int_Tables_number 11
_cell_length_a 10.091
_cell_length_b 4.627
_cell_length_c 11.612
_cell_angle_alpha 90.00
_cell_angle_beta 107.97
_cell_angle_gamma 90.00
loop_
_symmetry_equiv_pos_as_xyz
'x,y,z'
'-x,-y,-z'
'-x,y+1/2,-z'
'x,-y+1/2,z'
loop_
_atom_site_label
_atom_site_type_symbol
_atom_site_fract_x
_atom_site_fract_y
_atom_site_fract_z
_atom_site_occupancy
Cs1 Cs 0.210 0.250 0.247 1
Tb1 Tb 0.339 0.750 0.878 1
Tl1 Tl 0.065 0.250 0.623 1
Te1 Te 0.134 0.250 0.895 1
Te2 Te 0.245 0.750 0.586 1
Te3 Te 0.465 0.750 0.153 1
# ΔE_f (raw) = -0.93 eV per atom

Compound: KTcHO4
Source: Alexandria
Functional: PBE
Structure: relaxed

Geometry as CIF:
```
data_KTcHO4
_chemical_formula_sum 'K2 Tc2 H2 O8'
_symmetry_space_group_name_H-M 'P 1 21/m 1'
_symmetry_Int_Tables_number 11
_cell_length_a 4.962
_cell_length_b 6.356
_cell_length_c 8.114
_cell_angle_alpha 90.00
_cell_angle_beta 98.71
_cell_angle_gamma 90.00
loop_
_symmetry_equiv_pos_as_xyz
'x,y,z'
'-x,-y,-z'
'-x,y+1/2,-z'
'x,-y+1/2,z'
loop_
_atom_site_label
_atom_site_type_symbol
_atom_site_fract_x
_atom_site_fract_y
_atom_site_fract_z
_atom_site_occupancy
K1 K 0.050 0.250 0.193 1
Tc1 Tc 0.325 0.250 0.715 1
H1 H 0.143 0.750 0.433 1
O1 O 0.035 0.250 0.529 1
O2 O 0.104 0.250 0.870 1
O3 O 0.498 0.512 0.276 1
```

# PBE LaAgSeS, relaxed
data_LaAgSeS
_chemical_formula_sum 'La6 Ag6 Se6 S6'
_symmetry_space_group_name_H-M 'R -3 m'
_symmetry_Int_Tables_number 166
_symmetry_space_group_name_Hall '-R 3 2"'
_cell_length_a 4.6051
_cell_length_b 4.6051
_cell_length_c 33.5985
_cell_angle_alpha 90.00
_cell_angle_beta 90.00
_cell_angle_gamma 120.00
loop_
_atom_site_label
_atom_site_type_symbol
_atom_site_fract_x
_atom_site_fract_y
_atom_site_fract_z
_atom_site_occupancy
La1 La 0.0000 0.0000 0.1099 1
Ag1 Ag 0.0000 0.0000 0.3056 1
Se1 Se 0.0000 0.0000 0.3880 1
S1 S 0.0000 0.0000 0.1974 1
# ΔE_f (raw) = -1.36 eV per atom

# PBE Rb2MgTeF6, relaxed
data_Rb2MgTeF6
_chemical_formula_sum 'Rb4 Mg2 Te2 F12'
_symmetry_space_group_name_H-M 'I 4/m m m'
_symmetry_Int_Tables_number 139
_symmetry_space_group_name_Hall '-I 4 2'
_cell_length_a 6.643
_cell_length_b 6.643
_cell_length_c 8.404
_cell_angle_alpha 90.00
_cell_angle_beta 90.00
_cell_angle_gamma 90.00
loop_
_atom_site_label
_atom_site_type_symbol
_atom_site_fract_x
_atom_site_fract_y
_atom_site_fract_z
_atom_site_occupancy
Rb1 Rb 0.000 0.500 0.250 1
Mg1 Mg 0.000 0.000 0.000 1
Te1 Te 0.000 0.000 0.500 1
F1 F 0.000 0.000 0.249 1
F2 F 0.212 0.212 0.000 1
# ΔE_f (raw) = -2.49 eV per atom

# PBE TiAuS, relaxed
data_TiAuS
_chemical_formula_sum 'Ti4 Au4 S4'
_symmetry_space_group_name_H-M 'P -3 m 1'
_symmetry_Int_Tables_number 164
_symmetry_space_group_name_Hall '-P 3 2"'
_cell_length_a 4.0596
_cell_length_b 4.0596
_cell_length_c 19.6318
_cell_angle_alpha 90.00
_cell_angle_beta 90.00
_cell_angle_gamma 120.00
loop_
_atom_site_label
_atom_site_type_symbol
_atom_site_fract_x
_atom_site_fract_y
_atom_site_fract_z
_atom_site_occupancy
Ti1 Ti 0.3333 0.6667 0.0462 1
Ti2 Ti 0.3333 0.6667 0.6101 1
Au1 Au 0.3333 0.6667 0.3195 1
Au2 Au 0.3333 0.6667 0.4616 1
S1 S 0.3333 0.6667 0.7291 1
S2 S 0.3333 0.6667 0.9220 1
# ΔE_f (raw) = -0.54 eV per atom

Raw total energy
In order: -0.1427, -0.1401, -0.2326, -0.1915, -0.1571, -0.2071
Unit: hartree per atom